Entry 1:
Sr2DySn4Ir3 | GGA-PBE | optimized geometry

a = 4.5234 Å, b = 4.5234 Å, c = 12.0364 Å
α = 90.00°, β = 90.00°, γ = 90.00°
Space group P-4m2 (No. 115)
Unique sites:
1 Sr 0.0000 0.5000 0.2337 (multiplicity 2)
2 Dy 0.0000 0.0000 0.5000 (multiplicity 1)
3 Sn 0.0000 0.0000 0.0000 (multiplicity 1)
4 Sn 0.0000 0.5000 0.6605 (multiplicity 2)
5 Sn 0.5000 0.5000 0.0000 (multiplicity 1)
6 Ir 0.0000 0.5000 0.8794 (multiplicity 2)
7 Ir 0.5000 0.5000 0.5000 (multiplicity 1)

Computed properties:
ΔE_f = -0.4659 eV per atom
Spin magnetization = 0.00 μB per formula unit

Entry 2:
Ca4Se | GGA-PBE | optimized geometry

a = 5.7653 Å, b = 5.7653 Å, c = 5.7653 Å
α = 90.00°, β = 90.00°, γ = 90.00°
Space group Pm-3m (No. 221)
Unique sites:
1 Ca 0.0000 0.0000 0.0000 (multiplicity 1)
2 Ca 0.0000 0.5000 0.5000 (multiplicity 3)
3 Se 0.5000 0.5000 0.5000 (multiplicity 1)

Computed properties:
Formation energy from raw total energies = -0.653 eV/atom
Polymorph energy (0 for the lowest one) = 0.0 kJ per mole of atoms
Spin magnetization = 0.00 μB per formula unit

Entry 3:
ZnCu2SnS4 | GGA-PBE | optimized geometry

a = 5.4594 Å, b = 5.4594 Å, c = 10.9549 Å
α = 90.00°, β = 90.00°, γ = 90.00°
Space group I-42m (No. 121)
Unique sites:
1 Zn 0.0000 0.0000 0.0000 (multiplicity 2)
2 Cu 0.0000 0.5000 0.2500 (multiplicity 4)
3 Sn 0.0000 0.0000 0.5000 (multiplicity 2)
4 S 0.2423 0.2423 0.8663 (multiplicity 8)

Computed properties:
Formation energy from raw total energies = -0.457 eV/atom
Polymorph energy (0 for the lowest one) = 0.3 kJ per mole of atoms
Spin magnetization = 0.00 μB per formula unit

Entry 4:
IrPtSe2 | GGA-PBE | optimized geometry

a = 6.3646 Å, b = 3.6429 Å, c = 6.5735 Å
α = 90.00°, β = 108.58°, γ = 90.00°
Space group C2/m (No. 12)
Unique sites:
1 Ir 0.0000 0.0000 0.0000 (multiplicity 2)
2 Pt 0.0000 0.5000 0.5000 (multiplicity 2)
3 Se 0.2449 0.5000 0.2357 (multiplicity 4)

Computed properties:
Formation energy from raw total energies = 0.194 eV/atom
Spin magnetization = 0.00 μB per formula unit